DFT (PBE) results for an optimized crystal structure of CuBiMo2.

Output
Space group   No. 216
E_tot   -6.70 eV/atom

Cell lengths 4.603, 4.603, 4.603 Å; angles 60.00, 60.00, 60.00 degrees
Sites, in units of the cell vectors:
Mo (0.500, 0.500, 0.500)
Mo (0.750, 0.750, 0.750)
Bi (0.000, 0.000, 0.000)
Cu (0.250, 0.250, 0.250)


DFT (PBE) results for an optimized crystal structure of HoEr2Ni9.

Output
E_form   -5.23 eV/f.u.
Space group   No. 166
E_tot   -5.75 eV/atom

Cell lengths 8.554, 8.554, 8.554 Å; angles 33.37, 33.37, 33.37 degrees
Sites, in units of the cell vectors:
Ni (0.500, 0.500, 0.500)
Ni (0.583, 0.081, 0.583)
Er (0.139, 0.139, 0.139)
Ni (0.417, 0.417, 0.919)
Ni (0.583, 0.583, 0.081)
Ni (0.667, 0.667, 0.667)
Ni (0.417, 0.919, 0.417)
Er (0.861, 0.861, 0.861)
Ni (0.919, 0.417, 0.417)
Ni (0.333, 0.333, 0.333)
Ho (0.000, 0.000, 0.000)
Ni (0.081, 0.583, 0.583)


DFT (PBE) results for an optimized crystal structure of MgFeNiAs.

Output
E above lowest polymorph   0.0 meV/atom
Space group   No. 216
E_tot   -5.05 eV/atom

Cell lengths 4.150, 4.150, 4.150 Å; angles 60.00, 60.00, 60.00 degrees
Sites, in units of the cell vectors:
Mg (0.500, 0.500, 0.500)
As (0.000, 0.000, 0.000)
Fe (0.250, 0.250, 0.250)
Ni (0.750, 0.750, 0.750)


DFT (PBE) results for an optimized crystal structure of FeBiC6S6N6.

Output
Space group   No. 14
E_tot   -6.92 eV/atom

Cell lengths 8.222, 8.336, 14.482 Å; angles 90.00, 124.53, 90.00 degrees
Sites, in units of the cell vectors:
N (0.739, 0.596, 0.542)
N (0.364, 0.803, 0.951)
N (0.559, 0.965, 0.144)
C (0.579, 0.947, 0.231)
S (0.113, 0.807, 0.100)
S (0.889, 0.462, 0.152)
C (0.895, 0.862, 0.065)
N (0.559, 0.535, 0.644)
C (0.105, 0.138, 0.935)
S (0.113, 0.693, 0.600)
C (0.579, 0.553, 0.731)
S (0.111, 0.962, 0.348)
Fe (0.500, 0.500, 0.500)
N (0.441, 0.035, 0.856)
N (0.739, 0.904, 0.042)
N (0.636, 0.197, 0.049)
N (0.261, 0.096, 0.958)
N (0.441, 0.465, 0.356)
C (0.743, 0.307, 0.091)
Fe (0.500, 0.000, 0.000)
C (0.895, 0.638, 0.565)
S (0.887, 0.307, 0.400)
C (0.743, 0.193, 0.591)
C (0.105, 0.362, 0.435)
N (0.636, 0.303, 0.549)
Bi (0.000, 0.000, 0.500)
S (0.889, 0.038, 0.652)
N (0.261, 0.404, 0.458)
S (0.887, 0.193, 0.900)
C (0.421, 0.053, 0.769)
N (0.364, 0.697, 0.451)
S (0.597, 0.918, 0.347)
C (0.421, 0.447, 0.269)
S (0.403, 0.082, 0.653)
C (0.257, 0.807, 0.409)
S (0.111, 0.538, 0.848)
S (0.403, 0.418, 0.153)
Bi (0.000, 0.500, 0.000)
S (0.597, 0.582, 0.847)
C (0.257, 0.693, 0.909)


DFT (PBE) results for an optimized crystal structure of GdTaW.

Output
E_form   5.82 eV/f.u.
Space group   No. 216
E_tot   -7.88 eV/atom

Cell lengths 4.609, 4.609, 4.609 Å; angles 60.00, 60.00, 60.00 degrees
Sites, in units of the cell vectors:
Gd (0.000, 0.000, 0.000)
W (0.750, 0.750, 0.750)
Ta (0.250, 0.250, 0.250)


DFT (PBE) results for an optimized crystal structure of Gd2MoWC3.

Output
Space group   No. 8
E_tot   -9.00 eV/atom

Cell lengths 6.192, 6.192, 5.776 Å; angles 112.39, 112.39, 31.48 degrees
Sites, in units of the cell vectors:
C (0.750, 0.750, 0.768)
Gd (0.391, 0.391, 0.678)
W (0.158, 0.158, 0.826)
Gd (0.609, 0.609, 0.319)
C (0.249, 0.249, 0.230)
Mo (0.843, 0.843, 0.177)
C (0.001, 0.001, 0.502)


DFT (PBE) results for an optimized crystal structure of PuRe.

Output
E_form   0.99 eV/f.u.
Space group   No. 194
E_tot   -12.78 eV/atom

Cell lengths 4.077, 4.077, 5.525 Å; angles 90.00, 90.00, 120.00 degrees
Sites, in units of the cell vectors:
Re (0.000, 0.000, 0.000)
Re (0.000, 0.000, 0.500)
Pu (0.333, 0.667, 0.750)
Pu (0.667, 0.333, 0.250)


DFT (PBE) results for an optimized crystal structure of Ta28Co.

Output
E_form   5.14 eV/f.u.
Space group   No. 217
E_tot   -11.51 eV/atom

Cell lengths 8.882, 8.882, 8.882 Å; angles 109.47, 109.47, 109.47 degrees
Sites, in units of the cell vectors:
Ta (0.371, 0.186, 0.000)
Ta (0.623, 0.000, 0.000)
Ta (0.000, 0.186, 0.371)
Ta (0.678, 0.000, 0.397)
Ta (0.322, 0.719, 0.322)
Ta (0.814, 0.814, 0.185)
Ta (0.185, 0.814, 0.814)
Ta (0.000, 0.371, 0.186)
Ta (0.814, 0.185, 0.814)
Ta (0.186, 0.371, 0.000)
Ta (0.719, 0.322, 0.322)
Ta (0.815, 0.629, 0.629)
Ta (0.322, 0.322, 0.719)
Ta (0.000, 0.000, 0.623)
Ta (0.377, 0.377, 0.377)
Ta (0.603, 0.281, 0.603)
Ta (0.629, 0.629, 0.815)
Ta (0.186, 0.000, 0.371)
Co (0.000, 0.000, 0.000)
Ta (0.678, 0.397, 0.000)
Ta (0.397, 0.000, 0.678)
Ta (0.000, 0.397, 0.678)
Ta (0.603, 0.603, 0.281)
Ta (0.371, 0.000, 0.186)
Ta (0.281, 0.603, 0.603)
Ta (0.397, 0.678, 0.000)
Ta (0.000, 0.678, 0.397)
Ta (0.629, 0.815, 0.629)
Ta (0.000, 0.623, 0.000)


DFT (PBE) results for an optimized crystal structure of BaSrHgSbAs.

Output
E above lowest polymorph   3.5 meV/atom
Space group   No. 36
E_tot   -3.41 eV/atom

Cell lengths 9.614, 9.614, 7.566 Å; angles 90.00, 90.00, 151.72 degrees
Sites, in units of the cell vectors:
Sb (0.830, 0.170, 0.956)
Sb (0.170, 0.830, 0.456)
Ba (0.809, 0.191, 0.427)
Sr (0.020, 0.980, 0.230)
Hg (0.405, 0.595, 0.075)
Ba (0.191, 0.809, 0.927)
As (0.442, 0.558, 0.446)
Sr (0.980, 0.020, 0.730)
As (0.558, 0.442, 0.946)
Hg (0.595, 0.405, 0.575)


DFT (PBE) results for an optimized crystal structure of BaSrSi3Au.

Output
E above lowest polymorph   0.0 meV/atom
Space group   No. 69
E_tot   -4.44 eV/atom

Cell lengths 8.806, 8.475, 6.469 Å; angles 70.76, 65.32, 43.91 degrees
Sites, in units of the cell vectors:
Sr (0.750, 0.750, 0.750)
Si (0.837, 0.328, 0.163)
Si (0.163, 0.672, 0.837)
Si (0.163, 0.163, 0.837)
Ba (0.247, 0.753, 0.247)
Sr (0.250, 0.250, 0.250)
Si (0.672, 0.163, 0.328)
Si (0.837, 0.837, 0.163)
Au (0.332, 0.332, 0.668)
Au (0.668, 0.668, 0.332)
Si (0.328, 0.837, 0.672)
Ba (0.753, 0.247, 0.753)


DFT (PBE) results for an optimized crystal structure of HoZr.

Output
E_form   1.96 eV/f.u.
Space group   No. 225
E_tot   -5.58 eV/atom

Cell lengths 4.301, 4.301, 4.301 Å; angles 60.00, 60.00, 60.00 degrees
Sites, in units of the cell vectors:
Zr (0.500, 0.500, 0.500)
Ho (0.000, 0.000, 0.000)


DFT (PBE) results for an optimized crystal structure of TbPr2In3AgPt2.

Output
Space group   No. 38
E_tot   -4.94 eV/atom

Cell lengths 3.963, 7.880, 7.880 Å; angles 119.80, 90.00, 90.00 degrees
Sites, in units of the cell vectors:
Pt (0.500, 0.336, 0.660)
Ag (0.000, 0.003, 0.003)
Pr (0.000, 0.587, 0.999)
Pt (0.500, 0.660, 0.336)
In (0.500, 0.735, 0.735)
Tb (0.000, 0.414, 0.414)
In (0.500, 0.003, 0.263)
Pr (0.000, 0.999, 0.587)
In (0.500, 0.263, 0.003)